## a
## Th2Ga2Ni3 (PBE)

Data for a geometry-optimized Th2Ga2Ni3 structure.

abc: 3.977 7.031 9.389
angles: 90.00 102.23 90.00
Positions (direct):
Ni: 0.229 0.750 0.457
Ga: 0.694 0.559 0.387
Ga: 0.306 0.059 0.613
Ni: 0.439 0.947 0.877
Th: 0.147 0.250 0.293
Th: 0.060 0.750 0.119
Th: 0.940 0.250 0.881
Ga: 0.306 0.441 0.613
Ni: 0.561 0.053 0.123
Ni: 0.439 0.553 0.877
Ga: 0.694 0.941 0.387
Ni: 0.561 0.447 0.123
Ni: 0.771 0.250 0.543
Th: 0.853 0.750 0.707

mass density: 10.1 Mg/m³
crystal system: orthorhombic
space-group type: Cmcm (63)


## b
## Th2Ga2Ni3 (PBE)

Data for a geometry-optimized Th2Ga2Ni3 structure.

abc: 4.176 5.853 5.831
angles: 93.80 110.98 90.00
Positions (direct):
Ni: 0.281 0.643 0.563
Th: 0.631 0.813 0.262
Ga: 0.098 0.371 0.196
Ni: 0.719 0.357 0.437
Ga: 0.902 0.629 0.804
Ni: 0.000 0.000 0.000
Th: 0.369 0.187 0.738

mass density: 9.8 Mg/m³
crystal system: monoclinic
space-group type: C2/m (12)


Relative energy table, unit meV per atom: a 0; b 90


## a
## ThGa3Ni (PBE)

Data for a geometry-optimized ThGa3Ni structure.

abc: 4.246 4.246 5.933
angles: 110.97 110.97 90.00
Positions (direct):
Ga: 0.757 0.257 0.514
Th: 0.007 0.007 0.014
Ni: 0.648 0.648 0.297
Ga: 0.421 0.421 0.841
Ga: 0.257 0.757 0.514

mass density: 9.0 Mg/m³
crystal system: tetragonal
space-group type: I4mm (107)


## b
## ThGa3Ni (PBE)

Data for a geometry-optimized ThGa3Ni structure.

abc: 4.130 6.775 6.857
angles: 90.00 90.00 90.00
Positions (direct):
Th: 0.250 0.250 0.681
Ga: 0.750 0.562 0.847
Ni: 0.250 0.750 0.996
Th: 0.750 0.750 0.319
Ga: 0.750 0.938 0.847
Ga: 0.250 0.062 0.153
Ga: 0.250 0.750 0.646
Ga: 0.750 0.250 0.354
Ga: 0.250 0.438 0.153
Ni: 0.750 0.250 0.004

mass density: 8.7 Mg/m³
crystal system: orthorhombic
space-group type: Pmmn (59)


Relative energy table, unit meV per atom: a 0; b 143